# 1
BRuSeN2 | Alexandria via LeMat-Bulk | GGA-PBE | optimized geometry; theoretical density = 4.85 g cm⁻³; raw formation energy = 1.399 eV per atom; DOS(E_F) = 2.1 states/eV/f.u.; total DFT energy (no corrections) = -5.82 eV/atom
1.0
-1.759 -3.049 -1.194
2.933 -2.069 0.963
-2.124 -0.711 4.945
Se N B Ru
1 2 1 1
Cartesian
-1.062 -0.356 2.472
1.467 -1.035 0.481
-0.879 -1.524 -0.597
-0.475 -2.915 2.357
0.000 0.000 0.000

***

# 2
BRuSe2N | Alexandria via LeMat-Bulk | GGA-PBE | optimized geometry; theoretical density = 6.66 g cm⁻³; raw formation energy = 0.545 eV per atom; DOS(E_F) = 4.2 states/eV/f.u.; total DFT energy (no corrections) = -5.70 eV/atom
1.0
-4.231 -2.410 -1.476
2.756 -4.109 -1.189
-0.338 -0.961 2.538
Se B N Ru
2 1 1 1
Cartesian
1.378 -2.054 -0.594
-2.115 -1.205 -0.738
0.000 0.000 0.000
-0.169 -0.481 1.269
-0.907 -3.740 -0.063

***

# 3
BRuSe2N | Alexandria via LeMat-Bulk | GGA-PBE | optimized geometry; theoretical density = 5.10 g cm⁻³; raw formation energy = 1.225 eV per atom; DOS(E_F) = 7.4 states/eV/f.u.; total DFT energy (no corrections) = -5.02 eV/atom
1.0
5.049 0.000 0.000
0.000 5.049 0.000
0.000 0.000 3.623
B N Ru Se
1 1 1 2
Cartesian
2.525 2.525 1.812
0.000 0.000 1.812
0.000 0.000 0.000
0.000 2.525 0.000
2.525 0.000 0.000

***

# 4
BTe2RuN | Alexandria via LeMat-Bulk | GGA-PBE | optimized geometry; theoretical density = 5.99 g cm⁻³; raw formation energy = 1.118 eV per atom; DOS(E_F) = 4.5 states/eV/f.u.; total DFT energy (no corrections) = -4.99 eV/atom
1.0
-4.884 -0.833 2.142
-0.142 -3.253 -1.589
2.289 -2.226 4.352
B N Te Ru
1 1 2 1
Cartesian
-1.369 -3.156 2.453
-0.071 -1.627 -0.795
1.144 -1.113 2.176
-2.442 -0.416 1.071
0.000 0.000 0.000

***

# 5
BTe2RuN | Alexandria via LeMat-Bulk | GGA-PBE | optimized geometry; theoretical density = 7.71 g cm⁻³; raw formation energy = 0.620 eV per atom; DOS(E_F) = 5.0 states/eV/f.u.; total DFT energy (no corrections) = -5.49 eV/atom
1.0
5.368 0.000 0.000
0.000 5.368 0.000
0.000 0.000 2.849
B N Te Ru
1 1 2 1
Cartesian
0.000 0.000 0.000
0.000 0.000 1.424
2.684 0.000 0.000
0.000 2.684 0.000
2.684 2.684 1.424

***

# 6
BRuWN2 | Alexandria via LeMat-Bulk | GGA-PBE | optimized geometry; theoretical density = 7.45 g cm⁻³; raw formation energy = 1.632 eV per atom; DOS(E_F) = 4.3 states/eV/f.u.; total DFT energy (no corrections) = -7.48 eV/atom
1.0
3.586 0.000 0.000
0.000 5.612 0.000
0.000 0.000 3.586
N W B Ru
2 1 1 1
Cartesian
1.793 0.000 0.000
0.000 0.000 1.793
0.000 2.806 0.000
1.793 2.806 1.793
0.000 0.000 0.000

***

# 7
YB2RuN | Alexandria via LeMat-Bulk | GGA-PBE | optimized geometry; theoretical density = 5.51 g cm⁻³; raw formation energy = 0.361 eV per atom; DOS(E_F) = 1.5 states/eV/f.u.; total DFT energy (no corrections) = -7.12 eV/atom
1.0
3.853 0.000 0.000
0.000 4.582 0.000
0.000 0.000 3.853
Y B N Ru
1 2 1 1
Cartesian
1.926 2.291 1.926
0.000 0.000 1.926
1.926 0.000 0.000
0.000 2.291 0.000
0.000 0.000 0.000

***

# 8
Zn2BRuN | Alexandria via LeMat-Bulk | GGA-PBE | optimized geometry; theoretical density = 6.53 g cm⁻³; raw formation energy = 0.212 eV per atom; DOS(E_F) = 1.5 states/eV/f.u.; total DFT energy (no corrections) = -5.15 eV/atom
1.0
-2.984 -3.937 0.726
1.311 -1.332 -1.836
3.128 -1.728 3.487
B Zn Ru N
1 2 1 1
Cartesian
0.655 -0.666 -0.918
1.564 -0.864 1.744
-1.492 -1.968 0.363
0.727 -3.499 1.189
0.000 0.000 0.000

***

Total moment / Bohr magnetons per cell: 0.39 1.17 0.00 0.00 1.05 0.00 0.00 0.00